Below is Y2Al9Pd3 after structural relaxation, with properties calculated at the PBE level.

a b c (Å): 13.2356 7.7132 9.4731
angles (deg): 90.00 90.00 90.00
Closest atoms and distances in Å follow each position.
Space group Cmcm (No. 63)
Unique sites:
Y1 0.1614 0.1684 0.2500 (multiplicity 8)  11 Al 3.08-3.22, 2 Pd 3.44
Al1 0.0000 0.1301 0.7500 (multiplicity 4)  2 Pd 2.57, 6 Al 2.77-2.78
Al2 0.0000 0.3333 0.0566 (multiplicity 8)  3 Pd 2.63-2.67, 5 Al 2.79-2.87
Al3 0.1040 0.4424 0.7500 (multiplicity 8)  2 Pd 2.57, 6 Al 2.75-2.87
Al4 0.1671 0.1678 0.5758 (multiplicity 16)  3 Pd 2.60-2.66, 3 Al 2.78-2.85
Pd1 0.0000 0.0000 0.0000 (multiplicity 4)  8 Al 2.57-2.66
Pd2 0.1717 0.5000 0.0000 (multiplicity 8)  8 Al 2.57-2.67

* ΔH_f (0 K): -0.6945 eV per atom
* DOS at the Fermi energy: 0.39 states/eV/atom

Below is Y5Al4Pd after structural relaxation, with properties calculated at the PBE level.

a b c (Å): 3.5909 3.5909 17.9473
angles (deg): 90.00 90.00 90.00
Closest atoms and distances in Å follow each position.
Space group P4/mmm (No. 123)
Unique sites:
Y1 0.0000 0.0000 0.0000 (multiplicity 1)  8 Al 3.12
Y2 0.0000 0.0000 0.2022 (multiplicity 2)  8 Al 3.12
Y3 0.0000 0.0000 0.4053 (multiplicity 2)  4 Pd 3.06, 4 Al 3.13, 1 Y 3.40
Al1 0.5000 0.5000 0.1009 (multiplicity 2)  8 Y 3.12
Al2 0.5000 0.5000 0.3030 (multiplicity 2)  8 Y 3.12-3.13
Pd1 0.5000 0.5000 0.5000 (multiplicity 1)  8 Y 3.06

* ΔH_f (0 K): -0.5097 eV per atom
* DOS at the Fermi energy: 0.38 states/eV/atom

Below is Y2AlPd8 after structural relaxation, with properties calculated at the PBE level.

a b c (Å): 15.3323 4.6056 5.9689
angles (deg): 90.00 112.84 90.00
Closest atoms and distances in Å follow each position.
Space group C2/m (No. 12)
Unique sites:
Y1 0.1912 0.0000 0.1910 (multiplicity 4)  12 Pd 2.84-3.09
Al1 0.0000 0.5000 0.5000 (multiplicity 2)  4 Pd 2.42
Pd1 0.0001 0.0000 0.2521 (multiplicity 4)  2 Al 2.74, 8 Pd 2.90-3.01
Pd2 0.1315 0.5000 0.3713 (multiplicity 4)  1 Al 2.42
Pd3 0.1311 0.5000 0.8916 (multiplicity 4)  1 Al 2.42
Pd4 0.1769 0.0000 0.6770 (multiplicity 4)  8 Pd 2.85-3.07, 4 Y 2.96-2.99

* ΔH_f (0 K): -0.6992 eV per atom
* DOS at the Fermi energy: 0.37 states/eV/atom

Below is YAl2Pd2 after structural relaxation, with properties calculated at the PBE level.

a b c (Å): 7.6984 7.6984 2.9734
angles (deg): 90.00 90.00 90.00
Closest atoms and distances in Å follow each position.
Space group P4/mbm (No. 127)
Unique sites:
Y1 0.0000 0.0000 0.0000 (multiplicity 2)  2 Y 2.97, 4 Pd 2.98, 8 Al 3.29
Al1 0.1504 0.3496 0.5000 (multiplicity 4)  6 Pd 2.68-2.73, 2 Al 2.97
Pd1 0.1391 0.6391 0.0000 (multiplicity 4)  6 Al 2.68-2.73, 2 Pd 2.97, 2 Y 2.98

* ΔH_f (0 K): -0.7096 eV per atom
* DOS at the Fermi energy: 0.57 states/eV/atom

Below is Y2Al9Pd3 after structural relaxation, with properties calculated at the PBE level.

a b c (Å): 13.3227 7.6590 10.4617
angles (deg): 90.00 114.96 90.00
Closest atoms and distances in Å follow each position.
Space group C2/c (No. 15)
Unique sites:
Y1 0.1692 0.0839 0.2501 (multiplicity 8)  11 Al 3.04-3.18
Al1 0.0000 0.3733 0.2500 (multiplicity 4)  2 Pd 2.57, 6 Al 2.76-2.88
Al2 0.0585 0.0838 0.9249 (multiplicity 8)  3 Pd 2.60-2.66, 3 Al 2.79-2.84
Al3 0.1032 0.3152 0.7481 (multiplicity 8)  2 Pd 2.57-2.58, 6 Al 2.76-2.86
Al4 0.1028 0.4155 0.0586 (multiplicity 8)  3 Pd 2.62-2.68, 5 Al 2.80-2.88
Al5 0.2247 0.4171 0.4268 (multiplicity 8)  3 Pd 2.62-2.65, 4 Al 2.79-2.91
Pd1 0.0855 0.2425 0.4999 (multiplicity 8)  8 Al 2.57-2.68
Pd2 0.2500 0.2500 0.0000 (multiplicity 4)  8 Al 2.58-2.66

* ΔH_f (0 K): -0.6943 eV per atom
* DOS at the Fermi energy: 0.38 states/eV/atom

Below is YAl3Pd2 after structural relaxation, with properties calculated at the PBE level.

a b c (Å): 9.6190 8.1970 5.5289
angles (deg): 90.00 90.00 90.00
Closest atoms and distances in Å follow each position.
Space group Cmcm (No. 63)
Unique sites:
Y1 0.0000 0.1527 0.2500 (multiplicity 4)  9 Al 3.11-3.47, 4 Pd 3.27
Al1 0.0000 0.4682 0.7500 (multiplicity 4)  4 Pd 2.55, 4 Al 2.60-2.81
Al2 0.1694 0.2208 0.7500 (multiplicity 8)  4 Pd 2.51-2.72, 1 Al 2.60
Pd1 0.2213 0.5000 0.0000 (multiplicity 8)  6 Al 2.51-2.72, 2 Pd 2.76

* ΔH_f (0 K): -0.7679 eV per atom
* DOS at the Fermi energy: 0.39 states/eV/atom

Below is Y3Al2Pd4 after structural relaxation, with properties calculated at the PBE level.

a b c (Å): 10.0112 4.2884 8.7335
angles (deg): 90.00 96.66 90.00
Closest atoms and distances in Å follow each position.
Space group C2/m (No. 12)
Unique sites:
Y1 0.0000 0.0000 0.0000 (multiplicity 2)  8 Pd 3.04-3.39
Y2 0.1246 0.5000 0.3855 (multiplicity 4)  6 Pd 2.83-3.12
Al1 0.1772 0.5000 0.7901 (multiplicity 4)  5 Pd 2.56-2.63
Pd1 0.0869 0.0000 0.6366 (multiplicity 4)  2 Al 2.63, 2 Pd 2.79-2.91, 1 Y 2.92
Pd2 0.2158 0.5000 0.0907 (multiplicity 4)  3 Al 2.56-2.61, 2 Pd 2.80, 1 Y 2.83

* ΔH_f (0 K): -0.8675 eV per atom
* DOS at the Fermi energy: 0.62 states/eV/atom

Below is Y2Al2ZnPd5 after structural relaxation, with properties calculated at the PBE level.

a b c (Å): 10.2560 10.2560 3.3868
angles (deg): 90.00 90.00 90.00
Closest atoms and distances in Å follow each position.
Space group P4/mbm (No. 127)
Unique sites:
Y1 0.1750 0.3250 0.0000 (multiplicity 4)  3 Al 2.88-3.13, 6 Pd 3.05-3.17
Al1 0.1262 0.6262 0.0000 (multiplicity 4)  6 Pd 2.49-2.55
Zn1 0.0000 0.0000 0.0000 (multiplicity 2)  8 Pd 2.73
Pd1 0.0000 0.5000 0.5000 (multiplicity 2)  4 Al 2.49
Pd2 0.0557 0.7988 0.5000 (multiplicity 8)  2 Al 2.55, 2 Zn 2.73

* ΔH_f (0 K): -0.7329 eV per atom
* DOS at the Fermi energy: 0.65 states/eV/atom

Below is Y4AlZn2Pd after structural relaxation, with properties calculated at the PBE level.

a b c (Å): 5.0491 5.0491 24.7724
angles (deg): 90.00 90.00 120.00
Closest atoms and distances in Å follow each position.
Space group R-3m (No. 166, hexagonal axes)
Unique sites:
Y1 0.0000 0.0000 0.1222 (multiplicity 6)  1 Pd 3.03, 4 Zn 3.04-3.06, 3 Al 3.12
Y2 0.0000 0.0000 0.3727 (multiplicity 6)  3 Pd 3.07, 4 Zn 3.15, 1 Al 3.15
Al1 0.0000 0.0000 0.5000 (multiplicity 3)  8 Y 3.12-3.15
Zn1 0.0000 0.0000 0.2457 (multiplicity 6)  8 Y 3.04-3.15
Pd1 0.0000 0.0000 0.0000 (multiplicity 3)  8 Y 3.03-3.07

* ΔH_f (0 K): -0.5123 eV per atom
* DOS at the Fermi energy: 0.62 states/eV/atom

Below is Y2AlZnPd6 after structural relaxation, with properties calculated at the PBE level.

a b c (Å): 9.7598 5.6260 8.1916
angles (deg): 90.00 113.51 90.00
Closest atoms and distances in Å follow each position.
Space group C2/m (No. 12)
Unique sites:
Y1 0.2053 0.0000 0.1156 (multiplicity 4)  9 Pd 2.99-3.21
Al1 0.0000 0.0000 0.5000 (multiplicity 2)  6 Pd 2.46-2.47
Zn1 0.0000 0.5000 0.0000 (multiplicity 2)  6 Pd 2.50
Pd1 0.0016 0.2503 0.2535 (multiplicity 8)  1 Al 2.47, 1 Zn 2.50
Pd2 0.2483 0.0000 0.7479 (multiplicity 4)  1 Al 2.46, 1 Zn 2.50

* ΔH_f (0 K): -0.6103 eV per atom
* DOS at the Fermi energy: 0.38 states/eV/atom

Below is YAl2ZnPd4 after structural relaxation, with properties calculated at the PBE level.

a b c (Å): 4.3096 4.3096 25.2995
angles (deg): 90.00 90.00 120.00
Closest atoms and distances in Å follow each position.
Space group R-3m (No. 166, hexagonal axes)
Unique sites:
Y1 0.0000 0.0000 0.0000 (multiplicity 3)  8 Pd 3.01-3.31
Al1 0.0000 0.0000 0.2403 (multiplicity 6)  7 Pd 2.58-2.76
Zn1 0.0000 0.0000 0.5000 (multiplicity 3)  8 Pd 2.53-2.65
Pd1 0.0000 0.0000 0.1310 (multiplicity 6)  3 Zn 2.65, 4 Al 2.67-2.76
Pd2 0.0000 0.0000 0.4001 (multiplicity 6)  1 Zn 2.53, 3 Al 2.58

* ΔH_f (0 K): -0.7918 eV per atom
* DOS at the Fermi energy: 0.37 states/eV/atom

Below is Y2AlZn2Pd5 after structural relaxation, with properties calculated at the PBE level.

a b c (Å): 9.7905 9.7905 3.6669
angles (deg): 90.00 90.00 90.00
Closest atoms and distances in Å follow each position.
Space group P4/mbm (No. 127)
Unique sites:
Y1 0.1747 0.3253 0.0000 (multiplicity 4)  3 Zn 2.79-2.96, 2 Pd 3.03
Al1 0.0000 0.0000 0.0000 (multiplicity 2)  8 Pd 2.75
Zn1 0.1238 0.6238 0.0000 (multiplicity 4)  6 Pd 2.51-2.59, 1 Y 2.79
Pd1 0.0000 0.5000 0.5000 (multiplicity 2)  4 Zn 2.51
Pd2 0.0618 0.8003 0.5000 (multiplicity 8)  2 Zn 2.59, 2 Al 2.75, 2 Pd 2.89

* ΔH_f (0 K): -0.7317 eV per atom
* DOS at the Fermi energy: 0.54 states/eV/atom

Below is YAlZnPd3 after structural relaxation, with properties calculated at the PBE level.

a b c (Å): 6.5083 11.9534 5.7830
angles (deg): 90.00 90.00 90.00
Closest atoms and distances in Å follow each position.
Space group Cmcm (No. 63)
Unique sites:
Y1 0.0000 0.1971 0.2500 (multiplicity 4)  1 Zn 2.86, 2 Al 3.00, 4 Pd 3.09
Al1 0.0000 0.1318 0.7500 (multiplicity 4)  5 Pd 2.43-2.54
Zn1 0.0000 0.4368 0.2500 (multiplicity 4)  5 Pd 2.49-2.72
Pd1 0.0000 0.3353 0.7500 (multiplicity 4)  1 Al 2.43
Pd2 0.2107 0.0000 0.0000 (multiplicity 8)  2 Zn 2.49, 2 Al 2.54, 1 Pd 2.74

* ΔH_f (0 K): -0.5603 eV per atom
* DOS at the Fermi energy: 0.56 states/eV/atom

Below is Y2Al4Zn3Pd after structural relaxation, with properties calculated at the PBE level.

a b c (Å): 4.1193 4.1193 10.9391
angles (deg): 90.00 90.00 90.00
Closest atoms and distances in Å follow each position.
Space group P-4m2 (No. 115)
Unique sites:
Y1 0.0000 0.5000 0.2468 (multiplicity 2)  6 Zn 3.13-3.45, 8 Al 3.19-3.40, 2 Pd 3.45
Al1 0.0000 0.0000 0.0000 (multiplicity 1)  4 Zn 2.57
Al2 0.0000 0.5000 0.6344 (multiplicity 2)  3 Zn 2.46-2.53, 2 Pd 2.53
Al3 0.5000 0.5000 0.0000 (multiplicity 1)  4 Zn 2.57
Zn1 0.0000 0.5000 0.8589 (multiplicity 2)  5 Al 2.46-2.57
Zn2 0.5000 0.5000 0.5000 (multiplicity 1)  4 Al 2.53
Pd1 0.0000 0.0000 0.5000 (multiplicity 1)  4 Al 2.53

* ΔH_f (0 K): -0.4948 eV per atom
* DOS at the Fermi energy: 0.50 states/eV/atom

Below is YAlZnPd2 after structural relaxation, with properties calculated at the PBE level.

a b c (Å): 5.3108 13.1670 5.4293
angles (deg): 90.00 90.00 90.00
Closest atoms and distances in Å follow each position.
Space group Cmme (No. 67)
Unique sites:
Y1 0.0000 0.2500 0.2253 (multiplicity 4)  8 Pd 2.92-3.18
Al1 0.2500 0.0000 0.5000 (multiplicity 4)  4 Pd 2.56, 2 Al 2.66
Zn1 0.0000 0.0000 0.0000 (multiplicity 4)  2 Pd 2.51, 2 Zn 2.66
Pd1 0.0000 0.1449 0.6985 (multiplicity 8)  1 Zn 2.51, 2 Al 2.56, 1 Pd 2.77

* ΔH_f (0 K): -0.6231 eV per atom
* DOS at the Fermi energy: 0.49 states/eV/atom

Below is Y2ZrAl2Pd5 after structural relaxation, with properties calculated at the PBE level.

a b c (Å): 10.1204 10.1204 3.6526
angles (deg): 90.00 90.00 90.00
Closest atoms and distances in Å follow each position.
Space group P4/mbm (No. 127)
Unique sites:
Y1 0.1757 0.3243 0.0000 (multiplicity 4)  3 Al 2.89-3.06, 6 Pd 3.11-3.23
Zr1 0.0000 0.0000 0.0000 (multiplicity 2)  8 Pd 2.85
Al1 0.1220 0.6220 0.0000 (multiplicity 4)  6 Pd 2.53-2.59
Pd1 0.0000 0.5000 0.5000 (multiplicity 2)  4 Al 2.53
Pd2 0.0600 0.7922 0.5000 (multiplicity 8)  2 Al 2.59, 2 Zr 2.85

* ΔH_f (0 K): -0.8198 eV per atom
* DOS at the Fermi energy: 0.51 states/eV/atom

Below is YZrAlPd after structural relaxation, with properties calculated at the PBE level.

a b c (Å): 6.9699 6.9699 6.9699
angles (deg): 90.00 90.00 90.00
Closest atoms and distances in Å follow each position.
Space group F-43m (No. 216)
Unique sites:
Y1 0.0000 0.0000 0.0000 (multiplicity 4)  4 Al 3.02, 4 Pd 3.02
Zr1 0.0000 0.0000 0.5000 (multiplicity 4)  4 Pd 3.02, 4 Al 3.02
Al1 0.2500 0.2500 0.2500 (multiplicity 4)  4 Zr 3.02, 4 Y 3.02
Pd1 0.2500 0.2500 0.7500 (multiplicity 4)  4 Y 3.02, 4 Zr 3.02

* ΔH_f (0 K): -0.4356 eV per atom
* DOS at the Fermi energy: 1.22 states/eV/atom

Below is AlZn6Pd after structural relaxation, with properties calculated at the PBE level.

a b c (Å): 5.2181 8.8237 5.5134
angles (deg): 90.00 104.68 90.00
Closest atoms and distances in Å follow each position.
Space group C2/m (No. 12)
Unique sites:
Al1 0.0000 0.0000 0.0000 (multiplicity 2)  6 Zn 2.60-2.74, 2 Pd 2.76
Zn1 0.0080 0.5000 0.7432 (multiplicity 4)  5 Zn 2.55-2.66, 1 Al 2.60, 1 Pd 2.65
Zn2 0.2396 0.2520 0.2493 (multiplicity 8)  6 Zn 2.55-2.78, 1 Al 2.74, 1 Pd 2.76
Pd1 0.0000 0.0000 0.5000 (multiplicity 2)  6 Zn 2.65-2.76, 2 Al 2.76

* ΔH_f (0 K): -0.1104 eV per atom
* DOS at the Fermi energy: 0.18 states/eV/atom

Below is AlZn2Pd2 after structural relaxation, with properties calculated at the PBE level.

a b c (Å): 4.2306 7.1872 5.4945
angles (deg): 90.00 90.00 90.00
Closest atoms and distances in Å follow each position.
Space group Cmmm (No. 65)
Unique sites:
Al1 0.0000 0.0000 0.0000 (multiplicity 2)  4 Pd 2.53
Zn1 0.0000 0.1681 0.5000 (multiplicity 4)  3 Zn 2.42
Pd1 0.0000 0.5000 0.2526 (multiplicity 4)  2 Al 2.53, 2 Pd 2.72-2.78, 6 Zn 2.75-2.79

* ΔH_f (0 K): -0.3409 eV per atom
* energy above the most stable polymorph in this dataset: 131.2 meV per atom
* DOS at the Fermi energy: 0.27 states/eV/atom